Entry 1:
Density functional theory data (PBE) for Co4Ni5Ir2 after structural relaxation.

POSCAR file:
```
Co4Ni5Ir2
1.0
-2.1841 2.4127 6.3537
2.1841 -2.4127 6.3537
2.1841 2.4127 -6.3537
Co Ni Ir
4 5 2
Direct
0.0694 0.8268 0.2425
0.4157 0.1732 0.2425
0.5843 0.8268 0.7575
0.9306 0.1732 0.7575
0.0000 0.0000 0.0000
0.0000 0.5000 0.5000
0.1752 0.6752 0.5000
0.5000 0.0000 0.5000
0.8248 0.3248 0.5000
0.3915 0.3915 0.0000
0.6085 0.6085 0.0000
```

Summary:
formation energy = 0.305 eV/atom
spin magnetization = 11.55 μB per formula unit
total energy = -6.517 eV per atom
DOS(E_F) = 17.35 states/eV per cell


Entry 2:
Density functional theory data (PBE) for CsBeBi after structural relaxation.

POSCAR file:
```
CsBeBi
1.0
4.4700 0.0000 0.0000
-2.1935 7.6989 0.0000
-0.0644 -3.7399 7.1427
Cs Be Bi
2 2 2
Direct
0.0000 0.0000 0.0000
0.3456 0.6725 0.2988
0.3264 0.1591 0.4639
0.8276 0.1601 0.4633
0.2495 0.5062 0.7093
0.6539 0.3086 0.8106
```

Summary:
formation energy = 0.212 eV/atom
spin magnetization = 0.00 μB per formula unit
total energy = -2.608 eV per atom
DOS(E_F) = 0.00 states/eV per cell


Entry 3:
Density functional theory data (PBE) for In2IrSe after structural relaxation.

POSCAR file:
```
In2IrSe
1.0
-3.1338 3.1338 6.0937
3.1338 -3.1338 6.0937
3.1338 3.1338 -6.0937
In Ir Se
4 2 2
Direct
0.1011 0.6250 0.9761
0.3750 0.3511 0.4761
0.6489 0.1250 0.0239
0.8750 0.8989 0.5239
0.0000 0.0000 0.0000
0.7500 0.2500 0.5000
0.2500 0.7500 0.5000
0.5000 0.5000 0.0000
```

Summary:
spin magnetization = 0.00 μB per formula unit
total energy = -4.259 eV per atom
DOS(E_F) = 8.61 states/eV per cell
E_form (uncorrected) = 0.20 eV per atom


Entry 4:
Density functional theory data (PBE) for Ba2Mg4Ge3Bi after structural relaxation.

POSCAR file:
```
Ba2Mg4Ge3Bi
1.0
4.8598 0.0000 0.0000
0.0000 4.8598 0.0000
0.0000 0.0000 11.4145
Ba Mg Ge Bi
2 4 3 1
Direct
0.0000 0.5000 0.2460
0.5000 0.0000 0.7540
0.0000 0.0000 0.0000
0.0000 0.5000 0.6404
0.5000 0.0000 0.3596
0.5000 0.5000 0.0000
0.0000 0.5000 0.8732
0.5000 0.0000 0.1268
0.5000 0.5000 0.5000
0.0000 0.0000 0.5000
```

Summary:
formation energy = -0.461 eV/atom
spin magnetization = 0.00 μB per formula unit
total energy = -3.257 eV per atom
DOS(E_F) = 1.99 states/eV per cell


Entry 5:
Density functional theory data (PBE) for Zr4Ti after structural relaxation.

POSCAR file:
```
Zr4Ti
1.0
4.9646 0.0000 0.0000
0.0000 4.9646 0.0000
0.0000 0.0000 4.9646
Zr Ti
4 1
Direct
0.0000 0.0000 0.0000
0.0000 0.5000 0.5000
0.5000 0.0000 0.5000
0.5000 0.5000 0.0000
0.5000 0.5000 0.5000
```

Summary:
formation energy = 0.729 eV/atom
spin magnetization = 0.00 μB per formula unit
polymorph energy (0 for the lowest one) = 671 meV/atom
total energy = -7.688 eV per atom
DOS(E_F) = 8.78 states/eV per cell


Entry 6:
Density functional theory data (PBE) for ZrB2C after structural relaxation.

POSCAR file:
```
ZrB2C
1.0
-2.7755 2.7755 2.5540
2.7755 -2.7755 2.5540
2.7755 2.7755 -2.5540
Zr B C
2 4 2
Direct
0.0000 0.0000 0.0000
0.7500 0.2500 0.5000
0.2387 0.6250 0.1137
0.3750 0.4887 0.6137
0.5113 0.1250 0.8863
0.8750 0.7613 0.3863
0.2500 0.7500 0.5000
0.5000 0.5000 0.0000
```

Summary:
formation energy = 0.328 eV/atom
spin magnetization = 0.00 μB per formula unit
total energy = -7.454 eV per atom
DOS(E_F) = 0.79 states/eV per cell